Density functional theory data (GGA-PBEsol) for a geometry-optimized Ca3Ta2O8 structure.

Unit cell a=6.7829 b=7.1368 c=9.1979 alpha=90.00 beta=90.00 gamma=118.37
Closest atoms and distances in Å follow each position.
Positions (direct):
1 O 0.3917 0.2274 0.9994  1 Ta 1.85
2 O 0.7399 0.4798 0.7782  1 Ta 1.85
3 O 0.2399 0.4798 0.7218  1 Ta 1.85
4 O 0.8357 0.2274 0.9994  1 Ta 1.85
5 Ta 0.3866 0.7731 0.1176  4 O 1.85-1.91
6 O 0.6643 0.7726 0.4994  1 Ta 1.85
7 O 0.8917 0.2274 0.5006  1 Ta 1.85
8 O 0.4958 0.9915 0.7513  1 Ta 1.91
9 O 0.5042 0.0085 0.2487  1 Ta 1.91
10 Ca 0.8932 0.2864 0.2500  6 O 2.26-2.43
11 O 0.1083 0.7726 0.4994  1 Ta 1.85
12 O 0.3357 0.2274 0.5006  1 Ta 1.85
13 O 0.6083 0.7726 0.0006  1 Ta 1.85
14 Ta 0.8866 0.7731 0.3824  4 O 1.85-1.91
15 Ca 0.0000 0.0000 0.0000  6 O 2.31-2.37
16 O 0.2601 0.5202 0.2218  1 Ta 1.85
17 Ca 0.6068 0.7136 0.7500  6 O 2.26-2.43
18 O 0.1643 0.7726 0.0006  1 Ta 1.85
19 Ca 0.5000 0.0000 0.5000  6 O 2.31-2.37
20 O 0.9958 0.9915 0.7487  1 Ta 1.91
21 O 0.0042 0.0085 0.2513  1 Ta 1.91
22 O 0.7601 0.5202 0.2782  1 Ta 1.85
23 Ta 0.1134 0.2269 0.6176  4 O 1.85-1.91
24 Ca 0.3932 0.2864 0.2500  6 O 2.26-2.43
25 Ta 0.6134 0.2269 0.8824  4 O 1.85-1.91
26 Ca 0.1068 0.7136 0.7500  6 O 2.26-2.43

Properties
Electronic total energy   -8.64 eV per atom
Space group   Cmce (64)

=====

Density functional theory data (GGA-PBEsol) for a geometry-optimized BeCu2AgTe structure.

Unit cell a=4.6357 b=4.7764 c=4.7764 alpha=90.00 beta=90.00 gamma=90.00
Closest atoms and distances in Å follow each position.
Positions (direct):
1 Cu 0.0000 0.5000 0.0000  2 Te 2.39
2 Cu 0.0000 0.0000 0.5000  2 Te 2.39
3 Ag 0.5000 0.5000 0.5000  8 Cu 3.33, 4 Be 3.38
4 Be 0.5000 0.0000 0.0000  2 Te 2.32
5 Te 0.0000 0.0000 0.0000  2 Be 2.32, 4 Cu 2.39

Properties
Electronic total energy   -2.81 eV per atom
Space group   P4/mmm (123)

=====

Record order is preserved below.
Total moment: 0.00 0.00 μB per formula unit